Material: Cs2PAuSe4
Method: DFT, PBE
State: relaxed

Lattice parameters (Å, degrees): 14.3839 13.1194 7.5977 83.39 64.96 31.65
Last column: nearest neighbours and their distance in Å.
Sites, in units of the cell vectors:
Cs  0.0539  0.0539  0.6961  6 Se 3.76-4.05, 2 P 4.20, 2 Au 4.20
Cs  0.3039  0.3039  0.9461  6 Se 3.76-4.05, 2 Au 4.20, 2 P 4.20
Cs  0.6961  0.6961  0.0539  6 Se 3.76-4.05, 2 P 4.20, 2 Au 4.20
Cs  0.9461  0.9461  0.3039  6 Se 3.76-4.05, 2 Au 4.20, 2 P 4.20
P  0.3750  0.3750  0.3750  4 Se 2.24
P  0.6250  0.6250  0.6250  4 Se 2.24
Au  0.1250  0.1250  0.1250  4 Se 2.71
Au  0.8750  0.8750  0.8750  4 Se 2.71
Se  0.0332  0.6167  0.5315  1 P 2.24
Se  0.3186  0.5315  0.6167  1 P 2.24
Se  0.3833  0.9668  0.6814  1 P 2.24
Se  0.4685  0.6814  0.9668  1 P 2.24
Se  0.5315  0.3186  0.0332  1 P 2.24
Se  0.6167  0.0332  0.3186  1 P 2.24
Se  0.6814  0.4685  0.3833  1 P 2.24
Se  0.9668  0.3833  0.4685  1 P 2.24

Output
Its symmetry is No. 70. For the total energy, the calculation gives -3.614 eV/atom. The value obtained for the formation energy without anion corrections is -0.573 eV per atom. For the magnetization, the calculation gives 0.00 Bohr magnetons per cell.